1.
Below is crystalline PmCdF6 at its relaxed geometry, with properties calculated at the PBE-GGA level.

Cell: 5.409 5.409 8.035 Å, 90.00 90.00 90.00°
Space group P4_2/m (No. 84)
Inequivalent atoms, fractional coordinates:
Pm (0.000, 0.000, 0.250)
Cd (0.500, 0.500, 0.000)
F (0.152, 0.796, 0.000)
F (0.244, 0.673, 0.329)

E_form (uncorrected)   -2.778 eV per atom
Fermi-level density of states   1.145 states/eV/atom
Uncorrected energy   -4.89 eV per atom

***

2.
Below is crystalline TbPm4Dy2Er at its relaxed geometry, with properties calculated at the PBE-GGA level.

Cell: 5.086 5.106 10.093 Å, 90.00 90.05 90.00°
Space group P2/m (No. 10)
Inequivalent atoms, fractional coordinates:
Tb (0.000, 0.000, 0.000)
Pm (0.000, 0.500, 0.251)
Pm (0.500, 0.000, 0.251)
Dy (0.000, 0.000, 0.500)
Dy (0.500, 0.500, 0.000)
Er (0.500, 0.500, 0.500)

E_form   0.0182 eV per atom
Fermi-level density of states   1.345 states/eV/atom
Uncorrected energy   -4.66 eV per atom